! HgPd3Pb3, relaxed, DFT PBE-GGA; values from VASP
! energy: -4.00 eV/atom
! crystal system: monoclinic
! density of states at the Fermi level: 6.1 states/eV per cell
! energy of formation: -0.14 eV per atom
! ΔE to the lowest computed polymorph: 19 meV per atom
! magnetic moment: 0.00 μB per atom
&SYSTEM
  ibrav = 0, nat = 14, ntyp = 3
/
ATOMIC_SPECIES
Hg 200.59 Hg.upf
Pd 106.42 Pd.upf
Pb 207.20 Pb.upf
CELL_PARAMETERS angstrom
4.2523 -5.1795 0.0000
4.2523 5.1795 0.0000
-0.0763 0.0000 7.2900
ATOMIC_POSITIONS crystal
Hg 0.2367 0.2367 0.1522
Hg 0.7633 0.7633 0.8478
Pd 0.0066 0.4943 0.7142
Pd 0.4238 0.4238 0.8169
Pd 0.4943 0.0066 0.7142
Pd 0.5057 0.9934 0.2858
Pd 0.5762 0.5762 0.1831
Pd 0.9934 0.5057 0.2858
Pb 0.1080 0.1080 0.6796
Pb 0.2543 0.7457 0.0000
Pb 0.3389 0.6611 0.5000
Pb 0.6611 0.3389 0.5000
Pb 0.7457 0.2543 0.0000
Pb 0.8920 0.8920 0.3204